1.
4
Lattice="-0.492 1.947 -1.719 -2.435 -0.092 0.593 0.957 4.303 4.599" Properties=species:S:1:pos:R:3 comment="Cr3C, optimized geometry, DFT PBE" crystal_system=orthorhombic relative_energy_mev_per_atom=491.0 final_energy_ha_per_atom=-0.335 delta_e_f_ev_per_atom=0.398 dos_at_fermi_per_ev_cell=4.6 space_group="Pmm2 (25)" total_magnetization_mub_per_cell=0.002 pbc="T T T"
Cr 0.478 4.230 2.620
Cr -1.343 1.468 0.014
Cr -0.778 1.932 2.410
C 0.948 4.266 4.559

2.
15
Lattice="-2.924 -6.668 2.825 2.298 -6.844 -2.979 7.190 -4.922 6.618" Properties=species:S:1:pos:R:3 comment="TbSm8Bi6, optimized geometry, DFT PBE" crystal_system=trigonal final_energy_ha_per_atom=-0.182 delta_e_f_ev_per_atom=-0.574 dos_at_fermi_per_ev_cell=9.4 space_group="R-3 (148)" total_magnetization_mub_per_cell=0.000 pbc="T T T"
Sm -0.207 -4.504 -0.050
Sm 2.577 -9.197 6.092
Sm 5.065 -11.561 3.183
Sm 5.296 -7.068 3.208
Sm 6.772 -13.930 6.514
Sm 1.269 -11.366 3.256
Sm 1.500 -6.873 3.281
Sm 3.988 -9.237 0.373
Bi 4.854 -7.048 6.313
Bi -0.791 -9.005 3.077
Bi 1.711 -11.385 0.152
Bi 1.945 -6.866 0.175
Bi 4.620 -11.568 6.289
Bi 7.356 -9.429 3.388
Tb 0.000 0.000 0.000

3.
5
Lattice="-1.288 3.954 -3.804 3.004 -2.762 -3.888 -4.553 -2.891 -1.464" Properties=species:S:1:pos:R:3 comment="HfTeRhI2, optimized geometry, DFT PBE" crystal_system=tetragonal relative_energy_mev_per_atom=0.0 e_form_raw_ev_per_atom=0.50 final_energy_ha_per_atom=-0.155 dos_at_fermi_per_ev_cell=4.9 space_group="P4/mmm (123)" total_magnetization_mub_per_cell=1.614 pbc="T T T"
I -0.644 1.977 -1.902
I 1.502 -1.381 -1.944
Rh -1.419 -0.850 -4.578
Hf 0.000 0.000 0.000
Te -2.277 -1.446 -0.732

4.
4
Lattice="-4.879 0.637 1.407 1.107 -1.810 4.660 1.053 4.638 1.551" Properties=species:S:1:pos:R:3 comment="BaCdPb2, optimized geometry, DFT PBE" crystal_system=tetragonal final_energy_ha_per_atom=-0.105 delta_e_f_ev_per_atom=-0.294 dos_at_fermi_per_ev_cell=2.2 space_group="P4/mmm (123)" total_magnetization_mub_per_cell=0.000 pbc="T T T"
Cd 1.080 1.414 3.105
Pb -1.886 -0.586 3.033
Pb 0.000 0.000 0.000
Ba -1.913 2.638 1.479

5.
6
Lattice="-1.064 4.175 3.807 0.609 5.509 -1.530 -4.638 3.341 -0.619" Properties=species:S:1:pos:R:3 comment="In4NiPt, optimized geometry, DFT PBE" crystal_system=cubic relative_energy_mev_per_atom=918.1 final_energy_ha_per_atom=-0.117 delta_e_f_ev_per_atom=0.625 dos_at_fermi_per_ev_cell=3.7 space_group="F-43m (216)" total_magnetization_mub_per_cell=0.000 pbc="T T T"
In -1.605 7.639 -0.143
In -1.910 4.884 0.622
In -2.442 6.972 2.525
In -4.229 6.555 0.312
Ni -3.819 9.769 1.243
Pt 0.000 0.000 0.000

6.
4
Lattice="-2.438 -1.493 2.557 -1.824 -3.283 -0.779 5.111 -6.077 4.199" Properties=species:S:1:pos:R:3 comment="Dy2MgSe, optimized geometry, DFT PBE" crystal_system=trigonal relative_energy_mev_per_atom=0.0 e_form_raw_ev_per_atom=-0.78 final_energy_ha_per_atom=-0.160 dos_at_fermi_per_ev_cell=4.5 space_group="R3m (160)" total_magnetization_mub_per_cell=0.001 pbc="T T T"
Dy 3.782 -5.165 3.465
Dy -0.087 -2.508 1.329
Se 2.259 -9.254 5.378
Mg 0.430 -5.431 2.992